Entry 1:
KBa2Be PBE optimized geometry; DFT total energy = -1.5803 eV per atom
1.0
6.0503 0.0000 0.0000
0.0000 6.0503 0.0000
0.0000 0.0000 4.8234
K Ba Be
1 2 1
direct
0.0000 0.0000 0.0000
0.0000 0.5000 0.5000
0.5000 0.0000 0.5000
0.5000 0.5000 0.0000

Entry 2:
Th6Te3Ir2Pb PBE optimized geometry; ΔE_f (raw) = -1111 kJ/mol of formula units; DFT total energy = -7.2406 eV per atom
1.0
9.7214 -2.1506 0.0000
9.7214 2.1506 0.0000
-2.4559 0.0000 8.8665
Th Te Ir Pb
6 3 2 1
direct
0.0197 0.0197 0.2608
0.3220 0.3220 0.4416
0.3288 0.3288 0.8731
0.6712 0.6712 0.1269
0.6780 0.6780 0.5584
0.9803 0.9803 0.7392
0.1568 0.1568 0.8354
0.5000 0.5000 0.5000
0.8432 0.8432 0.1646
0.1709 0.1709 0.3390
0.8291 0.8291 0.6610
0.5000 0.5000 0.0000